NaAcLa2: relaxed, PBE.

Geometry as extended XYZ:
```
4
Lattice="3.7448 0.0000 0.0000 1.8724 3.2431 0.0000 1.8724 1.0810 13.4204" Properties=species:S:1:pos:R:3 pbc="T T T"
La 5.6172 3.2431 3.6620
La 1.8724 1.0810 9.7584
Ac 3.7448 2.1621 6.7102
Na 0.0000 0.0000 0.0000
```

Excess energy over the best structure of this formula in the dataset = 0.053 eV/atom
Electronic total energy = -3.67 eV per atom

=====

TaSiSN2: relaxed, PBE.

Geometry as extended XYZ:
```
5
Lattice="-3.0140 0.4901 -1.8763 -0.2431 -3.5358 -0.5332 -2.4418 -0.4075 3.8159" Properties=species:S:1:pos:R:3 pbc="T T T"
N -1.5070 0.2451 -0.9382
N -0.1215 -1.7679 -0.2666
Ta -2.8494 -1.7266 0.7032
S -1.2209 -0.2038 1.9080
Si 0.0000 0.0000 0.0000
```

Excess energy over the best structure of this formula in the dataset = 0.134 eV/atom
Electronic total energy = -7.17 eV per atom
Formation energy without anion corrections = 214 kJ/mol of formula units

=====

KRbLa2: relaxed, PBE.

Geometry as extended XYZ:
```
4
Lattice="0.0000 4.5985 4.5985 4.5985 0.0000 4.5985 4.5985 4.5985 0.0000" Properties=species:S:1:pos:R:3 pbc="T T T"
La 2.2993 2.2993 2.2993
La 6.8978 6.8978 6.8978
Rb 4.5985 4.5985 4.5985
K 0.0000 0.0000 0.0000
```

Excess energy over the best structure of this formula in the dataset = 0.028 eV/atom
Electronic total energy = -2.22 eV per atom